12
Lattice="2.443 1.410 7.300 -2.443 1.410 7.300 0.000 -2.820 7.300" Properties=species:S:1:pos:R:3 comment="SrRhS2O8 | Alexandria | PBE-GGA | relaxed" spacegroup="R-3, No. 148" final_energy_ev_per_cell=-74.723 dos_at_fermi_per_ev_cell=6.05 raw_formation_energy_mev_per_atom=-1481 pbc="T T T"
Sr 0.000 0.000 0.000
Rh 0.000 0.000 10.950
S 0.000 0.000 5.433
S 0.000 0.000 16.467
O -1.747 -0.165 9.616
O -0.730 -1.595 12.285
O 0.000 0.000 6.931
O 1.017 -1.430 9.616
O -1.017 1.430 12.285
O 0.000 0.000 14.970
O 0.730 1.595 9.616
O 1.747 0.165 12.285

---

9
Lattice="3.959 -2.224 0.000 3.959 2.224 0.000 -2.783 0.000 7.642" Properties=species:S:1:pos:R:3 comment="TcIr2Rh6 | Alexandria | PBE-GGA | relaxed" spacegroup="C2/m, No. 12" final_energy_ev_per_cell=-70.753 formation_energy_ev_per_atom=0.160 de_polymorph_ev_per_atom=0.1924 dos_at_fermi_per_ev_cell=8.65 pbc="T T T"
Tc 0.000 0.000 0.000
Ir 0.680 0.000 4.591
Ir 4.455 0.000 3.051
Rh -0.860 0.000 2.454
Rh 1.726 0.000 2.060
Rh -0.128 0.000 7.154
Rh 5.263 0.000 0.488
Rh 3.408 0.000 5.582
Rh 5.995 0.000 5.188

---

5
Lattice="4.690 0.000 0.000 0.000 4.690 0.000 0.000 0.000 4.690" Properties=species:S:1:pos:R:3 comment="AlMo3Rh | Alexandria | PBE-GGA | relaxed" spacegroup="Pm-3m, No. 221" final_energy_ev_per_cell=-35.810 formation_energy_ev_per_atom=1.556 de_polymorph_ev_per_atom=0.0272 dos_at_fermi_per_ev_cell=7.45 pbc="T T T"
Al 0.000 0.000 0.000
Mo 0.000 2.345 2.345
Mo 2.345 0.000 2.345
Mo 2.345 2.345 0.000
Rh 2.345 2.345 2.345

---

19
Lattice="6.377 -2.925 0.000 6.377 2.925 0.000 -2.355 0.000 7.355" Properties=species:S:1:pos:R:3 comment="Pm5Tc2O12 | Alexandria | PBE-GGA | relaxed" spacegroup="C2/m, No. 12" final_energy_ev_per_cell=-157.164 dos_at_fermi_per_ev_cell=5.39 raw_formation_energy_mev_per_atom=-2799 pbc="T T T"
Pm 0.000 0.000 0.000
Pm 3.565 0.000 1.052
Pm 2.401 0.000 4.928
Pm 7.998 0.000 2.427
Pm 6.834 0.000 6.303
Tc 5.199 1.629 3.677
Tc 5.199 -1.629 3.677
O 12.034 0.000 2.241
O -1.635 0.000 5.114
O 3.331 1.447 3.084
O 2.230 1.455 6.795
O 8.169 1.455 0.559
O 7.068 1.447 4.271
O 5.594 0.000 2.424
O 4.805 0.000 4.930
O 3.331 -1.447 3.084
O 2.230 -1.455 6.795
O 8.169 -1.455 0.559
O 7.068 -1.447 4.271

---

8
Lattice="-1.995 3.216 7.961 1.995 -3.216 7.961 1.995 3.216 -7.961" Properties=species:S:1:pos:R:3 comment="Ce3PmSi4 | Alexandria | PBE-GGA | relaxed" spacegroup="Immm, No. 71" final_energy_ev_per_cell=-48.084 dos_at_fermi_per_ev_cell=14.76 raw_formation_energy_mev_per_atom=-480 pbc="T T T"
Ce 0.000 0.000 0.000
Ce 1.995 0.000 4.844
Ce 0.000 3.216 3.117
Pm 0.000 0.000 7.961
Si 1.995 1.180 -2.095
Si 1.995 1.180 2.095
Si 0.000 2.036 5.866
Si 0.000 2.036 10.055

---

4
Lattice="-1.462 2.173 4.722 1.462 -2.173 4.722 1.462 2.173 -4.722" Properties=species:S:1:pos:R:3 comment="Al2IrW | Alexandria | PBE-GGA | relaxed" spacegroup="Imm2, No. 44" final_energy_ev_per_cell=-30.449 formation_energy_ev_per_atom=-0.287 de_polymorph_ev_per_atom=0.0968 dos_at_fermi_per_ev_cell=2.09 pbc="T T T"
Al 0.000 0.000 0.000
Al 0.000 2.173 2.096
Ir 1.462 0.000 2.136
W 0.000 0.000 4.415

---

18
Lattice="2.051 -6.483 0.000 2.051 6.483 0.000 0.000 0.000 12.703" Properties=species:S:1:pos:R:3 comment="BaNi5Sb3 | Alexandria | PBE-GGA | relaxed" spacegroup="Cmcm, No. 63" final_energy_ev_per_cell=-93.024 dos_at_fermi_per_ev_cell=10.49 raw_formation_energy_mev_per_atom=-368 pbc="T T T"
Ba 2.051 4.140 9.528
Ba 2.051 -4.140 3.176
Ni 0.000 0.000 0.000
Ni 0.000 0.000 6.352
Ni 2.051 4.132 0.913
Ni 2.051 4.132 5.438
Ni 2.051 0.505 8.191
Ni 2.051 0.505 10.864
Ni 2.051 -0.505 1.839
Ni 2.051 -0.505 4.513
Ni 2.051 -4.132 7.265
Ni 2.051 -4.132 11.790
Sb 2.051 5.261 3.176
Sb 2.051 1.651 0.448
Sb 2.051 1.651 5.904
Sb 2.051 -1.651 6.800
Sb 2.051 -1.651 12.255
Sb 2.051 -5.261 9.528

---

4
Lattice="2.635 -4.464 0.000 2.635 4.464 0.000 0.000 0.000 4.485" Properties=species:S:1:pos:R:3 comment="BeHg2Te | Alexandria | PBE-GGA | relaxed" spacegroup="Cmmm, No. 65" final_energy_ev_per_cell=-5.529 de_polymorph_ev_per_atom=0.5189 dos_at_fermi_per_ev_cell=1.11 raw_formation_energy_mev_per_atom=486 pbc="T T T"
Be 0.000 0.000 0.000
Hg 1.318 2.232 2.242
Hg 1.318 -2.232 2.242
Te 2.635 0.000 0.000

---

5
Lattice="5.311 0.000 0.000 0.000 5.311 0.000 0.000 0.000 3.999" Properties=species:S:1:pos:R:3 comment="HgWCBr2 | Alexandria | PBE-GGA | relaxed" spacegroup="P4/mmm, No. 123" final_energy_ev_per_cell=-21.989 dos_at_fermi_per_ev_cell=3.01 raw_formation_energy_mev_per_atom=767 pbc="T T T"
Hg 0.000 0.000 0.000
W 2.655 2.655 1.999
C 2.655 2.655 0.000
Br 0.000 2.655 1.999
Br 2.655 0.000 1.999

---

9
Lattice="5.604 -2.130 0.000 5.604 2.130 0.000 -2.827 0.000 7.995" Properties=species:S:1:pos:R:3 comment="Th3Si4Mo2 | Alexandria | PBE-GGA | relaxed" spacegroup="C2/m, No. 12" final_energy_ev_per_cell=-70.298 dos_at_fermi_per_ev_cell=6.94 raw_formation_energy_mev_per_atom=-520 pbc="T T T"
Th 0.000 0.000 0.000
Th 3.406 0.000 2.406
Th 4.974 0.000 5.589
Si -0.080 0.000 3.336
Si 0.557 0.000 7.411
Si 7.824 0.000 0.583
Si 8.460 0.000 4.658
Mo 1.695 0.000 5.178
Mo 6.686 0.000 2.817

---

8
Lattice="-3.607 3.607 3.586 3.607 -3.607 3.586 3.607 3.607 -3.586" Properties=species:S:1:pos:R:3 comment="RbH2I | Alexandria | PBE-GGA | relaxed" spacegroup="I-42d, No. 122" final_energy_ev_per_cell=-15.800 de_polymorph_ev_per_atom=1.0672 dos_at_fermi_per_ev_cell=0.00 pbc="T T T"
Rb 0.000 0.000 0.000
Rb 0.000 3.607 1.793
H 1.804 -1.319 2.689
H 2.288 1.804 0.896
H 1.804 4.926 -0.896
H 1.319 1.804 4.482
I 3.607 0.000 1.793
I 0.000 0.000 3.586

---

5
Lattice="5.570 0.000 0.000 0.000 5.570 0.000 0.000 0.000 4.680" Properties=species:S:1:pos:R:3 comment="ZrTiBi2W | Alexandria | PBE-GGA | relaxed" spacegroup="P4/mmm, No. 123" final_energy_ev_per_cell=-28.886 formation_energy_ev_per_atom=1.654 dos_at_fermi_per_ev_cell=5.12 pbc="T T T"
Zr 0.000 0.000 0.000
Ti 0.000 0.000 2.340
Bi 0.000 2.785 0.000
Bi 2.785 0.000 0.000
W 2.785 2.785 2.340